Record 1
# Ac2Sc2Sn2Ge

A geometry-optimized Ac2Sc2Sn2Ge structure (PBE, Alexandria via LeMat-Bulk).

Geometry as POSCAR:
```
Ac2Sc2Sn2Ge
1.0
-2.5157 2.5157 8.6825
2.5157 -2.5157 8.6825
2.5157 2.5157 -8.6825
Ac Sc Sn Ge
2 2 2 1
direct
0.1744 0.1744 0.0000
0.8256 0.8256 0.0000
0.0000 0.5000 0.5000
0.5000 0.0000 0.5000
0.3788 0.3788 0.0000
0.6212 0.6212 0.0000
0.0000 0.0000 0.0000
```

Properties
density of states at the Fermi level = 2.1 states/eV/cell
space group = I4/mmm, No. 139
electronic total energy = -5.454 eV/atom
formation enthalpy at 0 K = -64.5 kJ/mol of atoms
volume = 31.40 A^3/atom

Record 2
# AcScZnGe

A geometry-optimized AcScZnGe structure (PBE, Alexandria via LeMat-Bulk).

Geometry as POSCAR:
```
AcScZnGe
1.0
0.0000 3.6511 3.6511
3.6511 0.0000 3.6511
3.6511 3.6511 0.0000
Ac Sc Zn Ge
1 1 1 1
direct
0.0000 0.0000 0.0000
0.5000 0.5000 0.5000
0.7500 0.7500 0.7500
0.2500 0.2500 0.2500
```

Properties
density of states at the Fermi level = 2.7 states/eV/cell
space group = F-43m, No. 216
electronic total energy = -4.453 eV/atom
formation enthalpy at 0 K = -35.7 kJ/mol of atoms
volume = 24.34 A^3/atom

Record 3
# AcGeSe3

A geometry-optimized AcGeSe3 structure (PBE, Alexandria via LeMat-Bulk).

Geometry as POSCAR:
```
AcGeSe3
1.0
4.7129 0.0000 0.0000
0.0000 11.3841 3.4290
0.0000 -11.3841 3.4290
Ac Ge Se
2 2 6
direct
0.2500 0.1684 0.8316
0.7500 0.8316 0.1684
0.2500 0.3115 0.5288
0.7500 0.5288 0.3115
0.2500 0.0624 0.4845
0.2500 0.3991 0.2530
0.2500 0.6570 0.8903
0.7500 0.2530 0.3991
0.7500 0.4845 0.0624
0.7500 0.8903 0.6570
```

Properties
density of states at the Fermi level = 2.4 states/eV/cell
space group = Ama2, No. 40
electronic total energy = -4.878 eV/atom
polymorph energy (0 for the lowest one) = 64 meV/atom
ΔE_f (raw) = -1.042 eV/atom
volume = 36.79 A^3/atom

Record 4
# Ac3GeSe2

A geometry-optimized Ac3GeSe2 structure (PBE, Alexandria via LeMat-Bulk).

Geometry as POSCAR:
```
Ac3GeSe2
1.0
-2.2812 3.1960 6.7793
2.2812 -3.1960 6.7793
2.2812 3.1960 -6.7793
Ac Ge Se
3 1 2
direct
0.0000 0.0000 0.0000
0.3392 0.3392 0.0000
0.6608 0.6608 0.0000
0.5000 0.0000 0.5000
0.1671 0.6671 0.5000
0.8329 0.3329 0.5000
```

Properties
density of states at the Fermi level = 2.3 states/eV/cell
space group = Immm, No. 71
electronic total energy = -5.566 eV/atom
ΔE_f (raw) = -1.581 eV/atom
volume = 32.95 A^3/atom

Record 5
# Ac2Ge2Se7

A geometry-optimized Ac2Ge2Se7 structure (PBE, Alexandria via LeMat-Bulk).

Geometry as POSCAR:
```
Ac2Ge2Se7
1.0
5.1286 -5.7194 0.0000
5.1286 5.7194 0.0000
-1.0341 0.0000 6.1815
Ac Ge Se
2 2 7
direct
0.2256 0.7744 0.0000
0.7744 0.2256 0.0000
0.2631 0.2631 0.5664
0.7369 0.7369 0.4336
0.0640 0.4142 0.7604
0.0977 0.0977 0.2541
0.4142 0.0640 0.7604
0.5000 0.5000 0.5000
0.5858 0.9360 0.2396
0.9023 0.9023 0.7459
0.9360 0.5858 0.2396
```

Properties
density of states at the Fermi level = 1.5 states/eV/cell
space group = C2/m, No. 12
electronic total energy = -4.689 eV/atom
ΔE_f (raw) = -0.885 eV/atom
volume = 32.97 A^3/atom

Record 6
# Ac6GeSe5

A geometry-optimized Ac6GeSe5 structure (PBE, Alexandria via LeMat-Bulk).

Geometry as POSCAR:
```
Ac6GeSe5
1.0
3.8947 -6.7434 0.0000
3.8947 6.7434 0.0000
-2.5838 0.0000 7.3680
Ac Ge Se
6 1 5
direct
0.0819 0.4087 0.2457
0.2455 0.2455 0.7545
0.4087 0.0819 0.2457
0.5913 0.9181 0.7543
0.7545 0.7545 0.2455
0.9181 0.5913 0.7543
0.0000 0.0000 0.0000
0.1674 0.8326 0.5000
0.3331 0.6669 0.0000
0.5000 0.5000 0.5000
0.6669 0.3331 0.0000
0.8326 0.1674 0.5000
```

Properties
density of states at the Fermi level = 5.9 states/eV/cell
space group = C2/m, No. 12
electronic total energy = -5.627 eV/atom
ΔE_f (raw) = -1.736 eV/atom
volume = 32.25 A^3/atom

Question: The lowest electronic total energy belongs to which entry?
Answer: Ac6GeSe5